Entry 1:
The following is a GGA-PBE calculation of a relaxed structure of KPCl, from Alexandria via LeMat-Bulk.

a b c (Å): 6.9912 6.9912 6.9912
angles (deg): 151.30 151.30 41.04
Closest atoms and distances in Å follow each position.
Sites, in units of the cell vectors:
1 K 0.0000 0.0000 0.0000  4 Cl 2.98
2 P 0.3022 0.3022 0.0000  4 Cl 3.34, 4 P 3.47, 4 K 3.57
3 Cl 0.6294 0.6294 0.0000  4 K 2.98, 4 P 3.34

Values from the calculation:
uncorrected formation energy: 0.0 eV/f.u.
calculated volume: 26.2 A^3/atom
excess energy over the best structure of this formula in the dataset: 68.5 meV/atom
uncorrected energy: -2.77 eV per atom

Entry 2:
The following is a GGA-PBE calculation of a relaxed structure of TlNi4H7, from Alexandria via LeMat-Bulk.

a b c (Å): 3.5257 9.9251 5.8414
angles (deg): 90.00 90.00 90.00
Closest atoms and distances in Å follow each position.
Sites, in units of the cell vectors:
1 Tl 0.2500 0.2500 0.0104  2 Ni 2.73, 12 H 2.73-2.97
2 Tl 0.7500 0.7500 0.9896  2 Ni 2.73, 12 H 2.73-2.97
3 Ni 0.2500 0.5071 0.8467  5 H 1.61-1.80
4 Ni 0.2500 0.5871 0.4313  4 H 1.58-1.77
5 Ni 0.2500 0.9129 0.4313  4 H 1.58-1.77
6 Ni 0.2500 0.9929 0.8467  5 H 1.61-1.80
7 Ni 0.7500 0.0071 0.1533  5 H 1.61-1.80
8 Ni 0.7500 0.0871 0.5687  4 H 1.58-1.77
9 Ni 0.7500 0.4129 0.5687  4 H 1.58-1.77
10 Ni 0.7500 0.4929 0.1533  5 H 1.61-1.80
11 H 0.2500 0.0727 0.5815  4 Ni 1.74-1.81
12 H 0.2500 0.4273 0.5815  4 Ni 1.74-1.81
13 H 0.2500 0.5272 0.1428  4 Ni 1.74-1.80
14 H 0.2500 0.6396 0.6870  2 Ni 1.58-1.61
15 H 0.2500 0.7500 0.3799  2 Ni 1.64
16 H 0.2500 0.8604 0.6870  2 Ni 1.58-1.61
17 H 0.2500 0.9728 0.1428  4 Ni 1.74-1.80
18 H 0.7500 0.0272 0.8572  4 Ni 1.74-1.80
19 H 0.7500 0.1396 0.3130  2 Ni 1.58-1.61
20 H 0.7500 0.2500 0.6201  2 Ni 1.64
21 H 0.7500 0.3604 0.3130  2 Ni 1.58-1.61
22 H 0.7500 0.4728 0.8572  4 Ni 1.74-1.80
23 H 0.7500 0.5727 0.4185  4 Ni 1.74-1.81
24 H 0.7500 0.9273 0.4185  4 Ni 1.74-1.81

Values from the calculation:
calculated volume: 8.5 A^3/atom
uncorrected energy: -4.02 eV per atom

Entry 3:
The following is a GGA-PBE calculation of a relaxed structure of Fe5Ni12Ir2, from Alexandria via LeMat-Bulk.

a b c (Å): 5.9879 5.9879 6.7037
angles (deg): 101.72 101.72 90.44
Closest atoms and distances in Å follow each position.
Sites, in units of the cell vectors:
1 Fe 0.0000 0.0000 0.0000  6 Ni 2.42-2.45, 4 Fe 2.71
2 Fe 0.2336 0.2336 0.3747  8 Ni 2.49-2.79, 1 Fe 2.71
3 Fe 0.3130 0.3130 0.9682  6 Ni 2.32-2.51
4 Fe 0.6870 0.6870 0.0318  6 Ni 2.32-2.51
5 Fe 0.7664 0.7664 0.6253  8 Ni 2.49-2.79, 1 Fe 2.71
6 Ni 0.0828 0.0828 0.6779  3 Fe 2.32-2.59, 5 Ni 2.39-2.54, 2 Ir 2.49
7 Ni 0.0846 0.5113 0.7040  5 Ni 2.40-2.60, 2 Ir 2.49-2.52, 2 Fe 2.49-2.51
8 Ni 0.1454 0.6564 0.1050  2 Fe 2.39-2.42, 7 Ni 2.40-2.60, 1 Ir 2.54
9 Ni 0.3436 0.8546 0.8950  2 Fe 2.39-2.42, 7 Ni 2.40-2.60, 1 Ir 2.54
10 Ni 0.4879 0.4879 0.7064  4 Fe 2.34-2.61, 4 Ni 2.42-2.55, 2 Ir 2.50
11 Ni 0.4887 0.9154 0.2960  5 Ni 2.40-2.60, 2 Ir 2.49-2.52, 2 Fe 2.49-2.51
12 Ni 0.5113 0.0846 0.7040  5 Ni 2.40-2.60, 2 Ir 2.49-2.52, 2 Fe 2.49-2.51
13 Ni 0.5121 0.5121 0.2936  4 Fe 2.34-2.61, 4 Ni 2.42-2.55, 2 Ir 2.50
14 Ni 0.6564 0.1454 0.1050  2 Fe 2.39-2.42, 7 Ni 2.40-2.60, 1 Ir 2.54
15 Ni 0.8546 0.3436 0.8950  2 Fe 2.39-2.42, 7 Ni 2.40-2.60, 1 Ir 2.54
16 Ni 0.9154 0.4887 0.2960  5 Ni 2.40-2.60, 2 Ir 2.49-2.52, 2 Fe 2.49-2.51
17 Ni 0.9172 0.9172 0.3221  3 Fe 2.32-2.59, 5 Ni 2.39-2.54, 2 Ir 2.49
18 Ir 0.2572 0.7428 0.5000  10 Ni 2.49-2.54
19 Ir 0.7428 0.2572 0.5000  10 Ni 2.49-2.54

Values from the calculation:
ΔE_f: 2.0 eV per formula unit
calculated volume: 12.1 A^3/atom
excess energy over the best structure of this formula in the dataset: 0.0 meV/atom
uncorrected energy: -6.71 eV per atom

Entry 4:
The following is a GGA-PBE calculation of a relaxed structure of PuMg5Tl4, from Alexandria via LeMat-Bulk.

a b c (Å): 3.5202 3.5202 20.2664
angles (deg): 90.00 90.00 90.00
Closest atoms and distances in Å follow each position.
Sites, in units of the cell vectors:
1 Pu 0.0000 0.0000 0.0000  8 Mg 3.39, 4 Pu 3.52
2 Mg 0.5000 0.5000 0.1136  4 Tl 3.15, 4 Pu 3.39, 4 Mg 3.52
3 Mg 0.5000 0.5000 0.3048  8 Tl 3.16-3.18, 4 Mg 3.52
4 Mg 0.5000 0.5000 0.5000  8 Tl 3.17, 4 Mg 3.52
5 Mg 0.5000 0.5000 0.6952  8 Tl 3.16-3.18, 4 Mg 3.52
6 Mg 0.5000 0.5000 0.8864  4 Tl 3.15, 4 Pu 3.39, 4 Mg 3.52
7 Tl 0.0000 0.0000 0.2090  8 Mg 3.15-3.16, 4 Tl 3.52
8 Tl 0.0000 0.0000 0.4028  8 Mg 3.17-3.18, 4 Tl 3.52
9 Tl 0.0000 0.0000 0.5972  8 Mg 3.17-3.18, 4 Tl 3.52
10 Tl 0.0000 0.0000 0.7910  8 Mg 3.15-3.16, 4 Tl 3.52

Values from the calculation:
ΔE_f: 0.1 eV per formula unit
calculated volume: 25.1 A^3/atom
uncorrected energy: -3.17 eV per atom

Entry 5:
The following is a GGA-PBE calculation of a relaxed structure of Pm2Ag2RuO6, from Alexandria via LeMat-Bulk.

a b c (Å): 6.0411 6.0411 6.5015
angles (deg): 96.34 96.34 120.98
Closest atoms and distances in Å follow each position.
Sites, in units of the cell vectors:
1 Pm 0.1635 0.8365 0.0000  6 O 2.33-2.38
2 Pm 0.8365 0.1635 0.0000  6 O 2.33-2.38
3 Ag 0.3558 0.6442 0.5000  2 O 2.09
4 Ag 0.6442 0.3558 0.5000  2 O 2.09
5 Ru 0.5000 0.5000 0.0000  6 O 1.97-2.11
6 O 0.1729 0.1729 0.8496  1 Ru 1.97
7 O 0.2460 0.5496 0.1707  1 Ag 2.09, 1 Ru 2.11
8 O 0.4504 0.7540 0.8293  1 Ag 2.09, 1 Ru 2.11
9 O 0.5496 0.2460 0.1707  1 Ag 2.09, 1 Ru 2.11
10 O 0.7540 0.4504 0.8293  1 Ag 2.09, 1 Ru 2.11
11 O 0.8271 0.8271 0.1504  1 Ru 1.97

Values from the calculation:
uncorrected formation energy: -18.8 eV/f.u.
calculated volume: 18.0 A^3/atom
uncorrected energy: -6.64 eV per atom

Entry 6:
The following is a GGA-PBE calculation of a relaxed structure of HfAsSe2N, from Alexandria via LeMat-Bulk.

a b c (Å): 4.4252 4.4252 4.3032
angles (deg): 90.00 90.00 90.00
Closest atoms and distances in Å follow each position.
Sites, in units of the cell vectors:
1 Hf 0.0000 0.0000 0.0000  8 Se 3.09, 4 As 3.13
2 As 0.5000 0.5000 0.0000  2 N 2.15
3 Se 0.0000 0.5000 0.5000  2 N 2.21
4 Se 0.5000 0.0000 0.5000  2 N 2.21
5 N 0.5000 0.5000 0.5000  2 As 2.15, 4 Se 2.21

Values from the calculation:
uncorrected formation energy: 1.9 eV/f.u.
calculated volume: 16.9 A^3/atom
excess energy over the best structure of this formula in the dataset: 259.5 meV/atom
uncorrected energy: -5.61 eV per atom

Entry 7:
The following is a GGA-PBE calculation of a relaxed structure of SrZnInNi, from Alexandria via LeMat-Bulk.

a b c (Å): 4.5172 4.5172 6.0079
angles (deg): 111.85 111.85 60.15
Closest atoms and distances in Å follow each position.
Sites, in units of the cell vectors:
1 Sr 0.0000 0.0000 0.0000  1 Ni 2.96, 1 Zn 3.19
2 Zn 0.8038 0.8038 0.4126  3 Ni 2.70-2.71, 3 In 2.73
3 In 0.5194 0.5194 0.5608  3 Ni 2.61, 3 Zn 2.73
4 Ni 0.1810 0.1810 0.5459  3 In 2.61, 3 Zn 2.70-2.71

Values from the calculation:
ΔE_f: -0.9 eV per formula unit
calculated volume: 24.0 A^3/atom
excess energy over the best structure of this formula in the dataset: 5.1 meV/atom
uncorrected energy: -3.10 eV per atom

Entry 8:
The following is a GGA-PBE calculation of a relaxed structure of Rb2ZnGaHg, from Alexandria via LeMat-Bulk.

a b c (Å): 6.8765 6.8765 4.6858
angles (deg): 90.00 90.00 90.00
Closest atoms and distances in Å follow each position.
Sites, in units of the cell vectors:
1 Rb 0.0000 0.5000 0.0000  2 Zn 3.44
2 Rb 0.5000 0.0000 0.0000  2 Zn 3.44
3 Zn 0.0000 0.0000 0.0000  2 Ga 2.34
4 Ga 0.0000 0.0000 0.5000  2 Zn 2.34
5 Hg 0.5000 0.5000 0.5000  8 Rb 4.16

Values from the calculation:
ΔE_f: 0.3 eV per formula unit
calculated volume: 44.3 A^3/atom
uncorrected energy: -1.26 eV per atom

Entry 9:
The following is a GGA-PBE calculation of a relaxed structure of CsPbI2Br, from Alexandria via LeMat-Bulk.

a b c (Å): 6.4030 6.4030 5.9767
angles (deg): 90.00 90.00 90.00
Closest atoms and distances in Å follow each position.
Sites, in units of the cell vectors:
1 Cs 0.0000 0.0000 0.0000  8 I 4.38, 4 Br 4.53
2 Pb 0.5000 0.5000 0.5000  2 Br 2.99, 4 I 3.20
3 I 0.0000 0.5000 0.5000  2 Pb 3.20
4 I 0.5000 0.0000 0.5000  2 Pb 3.20
5 Br 0.5000 0.5000 0.0000  2 Pb 2.99

Values from the calculation:
uncorrected formation energy: -5.5 eV/f.u.
calculated volume: 49.0 A^3/atom
excess energy over the best structure of this formula in the dataset: 7.0 meV/atom
uncorrected energy: -2.96 eV per atom

Entry 10:
The following is a GGA-PBE calculation of a relaxed structure of PmY12Sc7, from Alexandria via LeMat-Bulk.

a b c (Å): 9.3280 9.3280 9.3280
angles (deg): 110.62 110.62 110.62
Closest atoms and distances in Å follow each position.
Sites, in units of the cell vectors:
1 Pm 0.0000 0.0000 0.0000  6 Sc 3.48, 6 Y 3.56
2 Y 0.0911 0.3835 0.5868  4 Sc 3.33-3.55, 5 Y 3.52-3.66
3 Y 0.0949 0.7287 0.1579  3 Sc 3.30-3.34, 7 Y 3.49-3.63, 1 Pm 3.56
4 Y 0.1579 0.0949 0.7287  3 Sc 3.30-3.34, 7 Y 3.49-3.63, 1 Pm 3.56
5 Y 0.2713 0.8421 0.9051  3 Sc 3.30-3.34, 7 Y 3.49-3.63, 1 Pm 3.56
6 Y 0.3835 0.5868 0.0911  4 Sc 3.33-3.55, 5 Y 3.52-3.66
7 Y 0.4132 0.9089 0.6165  4 Sc 3.33-3.55, 5 Y 3.52-3.66
8 Y 0.5868 0.0911 0.3835  4 Sc 3.33-3.55, 5 Y 3.52-3.66
9 Y 0.6165 0.4132 0.9089  4 Sc 3.33-3.55, 5 Y 3.52-3.66
10 Y 0.7287 0.1579 0.0949  3 Sc 3.30-3.34, 7 Y 3.49-3.63, 1 Pm 3.56
11 Y 0.8421 0.9051 0.2713  3 Sc 3.30-3.34, 7 Y 3.49-3.63, 1 Pm 3.56
12 Y 0.9051 0.2713 0.8421  3 Sc 3.30-3.34, 7 Y 3.49-3.63, 1 Pm 3.56
13 Y 0.9089 0.6165 0.4132  4 Sc 3.33-3.55, 5 Y 3.52-3.66
14 Sc 0.1651 0.4560 0.2873  1 Sc 2.83
15 Sc 0.2873 0.1651 0.4560  1 Sc 2.83
16 Sc 0.4560 0.2873 0.1651  1 Sc 2.83
17 Sc 0.5000 0.5000 0.5000  6 Sc 2.83
18 Sc 0.5440 0.7127 0.8349  1 Sc 2.83
19 Sc 0.7127 0.8349 0.5440  1 Sc 2.83
20 Sc 0.8349 0.5440 0.7127  1 Sc 2.83

Values from the calculation:
ΔE_f: 2.5 eV per formula unit
calculated volume: 29.8 A^3/atom
uncorrected energy: -6.21 eV per atom

Entry 11:
The following is a GGA-PBE calculation of a relaxed structure of TiTcMoW, from Alexandria via LeMat-Bulk.

a b c (Å): 2.8178 2.9351 8.0442
angles (deg): 90.00 90.00 90.00
Closest atoms and distances in Å follow each position.
Sites, in units of the cell vectors:
1 Ti 0.0000 0.0000 0.0000  4 Tc 2.69, 2 Mo 2.71, 4 Ti 2.82-2.94
2 Tc 0.5000 0.5000 0.2188  4 Ti 2.69, 4 W 2.69, 4 Tc 2.82-2.94
3 Mo 0.0000 0.5000 0.7165  2 W 2.68, 2 Ti 2.71, 4 Mo 2.82-2.94
4 W 0.0000 0.0000 0.4378  2 Mo 2.68, 4 Tc 2.69, 4 W 2.82-2.94

Values from the calculation:
ΔE_f: 1.7 eV per formula unit
calculated volume: 16.6 A^3/atom
excess energy over the best structure of this formula in the dataset: 712.9 meV/atom
uncorrected energy: -10.08 eV per atom

Entry 12:
The following is a GGA-PBE calculation of a relaxed structure of CaIn3Rh, from Alexandria via LeMat-Bulk.

a b c (Å): 6.9360 6.9360 5.8640
angles (deg): 90.00 90.00 120.00
Closest atoms and distances in Å follow each position.
Sites, in units of the cell vectors:
1 Ca 0.3333 0.6667 0.2500  12 In 3.42-3.48
2 Ca 0.6667 0.3333 0.7500  12 In 3.42-3.48
3 In 0.1860 0.3720 0.7500  2 Rh 2.67
4 In 0.1860 0.8140 0.7500  2 Rh 2.67
5 In 0.3720 0.1860 0.2500  2 Rh 2.67
6 In 0.6280 0.8140 0.7500  2 Rh 2.67
7 In 0.8140 0.1860 0.2500  2 Rh 2.67
8 In 0.8140 0.6280 0.2500  2 Rh 2.67
9 Rh 0.0000 0.0000 0.0000  6 In 2.67, 2 Rh 2.93
10 Rh 0.0000 0.0000 0.5000  6 In 2.67, 2 Rh 2.93

Values from the calculation:
ΔE_f: -1.7 eV per formula unit
calculated volume: 24.4 A^3/atom
excess energy over the best structure of this formula in the dataset: 91.7 meV/atom
uncorrected energy: -3.86 eV per atom